# 1
Here is a geometry-optimized RbBaNa2Sn structure from the Alexandria database. Energies are from PBE.

Geometry as CIF:
```
data_RbBaNa2Sn
_chemical_formula_sum 'Rb1 Ba1 Na2 Sn1'
_symmetry_space_group_name_H-M 'P 4/m m m'
_symmetry_Int_Tables_number 123
_symmetry_space_group_name_Hall '-P 4 2'
_cell_length_a 6.3199
_cell_length_b 6.3199
_cell_length_c 6.6986
_cell_angle_alpha 90.00
_cell_angle_beta 90.00
_cell_angle_gamma 90.00
loop_
_atom_site_label
_atom_site_type_symbol
_atom_site_fract_x
_atom_site_fract_y
_atom_site_fract_z
Rb1 Rb 0.0000 0.0000 0.0000
Ba1 Ba 0.5000 0.5000 0.0000
Na1 Na 0.0000 0.5000 0.5000
Sn1 Sn 0.5000 0.5000 0.5000
```

# 2
Here is a geometry-optimized Rb2BaNaTa structure from the Alexandria database. Energies are from PBE.

Geometry as CIF:
```
data_Rb2BaNaTa
_chemical_formula_sum 'Rb2 Ba1 Na1 Ta1'
_symmetry_space_group_name_H-M 'P 4/m m m'
_symmetry_Int_Tables_number 123
_symmetry_space_group_name_Hall '-P 4 2'
_cell_length_a 6.4140
_cell_length_b 6.4140
_cell_length_c 6.2672
_cell_angle_alpha 90.00
_cell_angle_beta 90.00
_cell_angle_gamma 90.00
loop_
_atom_site_label
_atom_site_type_symbol
_atom_site_fract_x
_atom_site_fract_y
_atom_site_fract_z
Rb1 Rb 0.0000 0.5000 0.0000
Ba1 Ba 0.0000 0.0000 0.5000
Na1 Na 0.5000 0.5000 0.0000
Ta1 Ta 0.5000 0.5000 0.5000
```

# 3
Here is a geometry-optimized RbBa2NaTc structure from the Alexandria database. Energies are from PBE.

Geometry as CIF:
```
data_RbBa2NaTc
_chemical_formula_sum 'Rb1 Ba2 Na1 Tc1'
_symmetry_space_group_name_H-M 'P 4/m m m'
_symmetry_Int_Tables_number 123
_symmetry_space_group_name_Hall '-P 4 2'
_cell_length_a 6.8629
_cell_length_b 6.8629
_cell_length_c 5.4998
_cell_angle_alpha 90.00
_cell_angle_beta 90.00
_cell_angle_gamma 90.00
loop_
_atom_site_label
_atom_site_type_symbol
_atom_site_fract_x
_atom_site_fract_y
_atom_site_fract_z
Rb1 Rb 0.0000 0.0000 0.0000
Ba1 Ba 0.0000 0.5000 0.0000
Na1 Na 0.0000 0.0000 0.5000
Tc1 Tc 0.5000 0.5000 0.5000
```

How do the records compare in V? In the order shown, they have 53.51, 51.57, 51.81 Å³ per atom.
How do the records compare in energy of formation? In the order shown, they have -5.6, 121.1, 147.4 kJ per mole of atoms.